# 1
LiSbH2: relaxed, GGA-PBE.

CIF file:
```
data_LiSbH2
_chemical_formula_sum 'Li4 Sb4 H8'
_symmetry_space_group_name_H-M 'P 1'
_symmetry_Int_Tables_number 1
_cell_length_a 5.7201
_cell_length_b 5.7201
_cell_length_c 5.7201
_cell_angle_alpha 90.00
_cell_angle_beta 90.00
_cell_angle_gamma 90.00
loop_
_symmetry_equiv_pos_as_xyz
'x,y,z'
loop_
_atom_site_label
_atom_site_type_symbol
_atom_site_fract_x
_atom_site_fract_y
_atom_site_fract_z
_atom_site_occupancy
Li1 Li 0.0000 0.0000 0.0000 1
Li2 Li 0.0000 0.5000 0.5000 1
Li3 Li 0.5000 0.0000 0.5000 1
Li4 Li 0.5000 0.5000 0.0000 1
Sb1 Sb 0.0000 0.0000 0.5000 1
Sb2 Sb 0.0000 0.5000 0.0000 1
Sb3 Sb 0.5000 0.0000 0.0000 1
Sb4 Sb 0.5000 0.5000 0.5000 1
H1 H 0.2500 0.2500 0.2500 1
H2 H 0.2500 0.2500 0.7500 1
H3 H 0.2500 0.7500 0.2500 1
H4 H 0.2500 0.7500 0.7500 1
H5 H 0.7500 0.2500 0.2500 1
H6 H 0.7500 0.2500 0.7500 1
H7 H 0.7500 0.7500 0.2500 1
H8 H 0.7500 0.7500 0.7500 1
```

energy above the lowest structure with this stoichiometry: 0.357 eV/atom
space-group type: Fm-3m, No. 225

***

# 2
KSb12Pt4: relaxed, GGA-PBE.

CIF file:
```
data_KSb12Pt4
_chemical_formula_sum 'K1 Sb12 Pt4'
_symmetry_space_group_name_H-M 'P 1'
_symmetry_Int_Tables_number 1
_cell_length_a 8.3508
_cell_length_b 8.3508
_cell_length_c 8.3508
_cell_angle_alpha 109.47
_cell_angle_beta 109.47
_cell_angle_gamma 109.47
loop_
_symmetry_equiv_pos_as_xyz
'x,y,z'
loop_
_atom_site_label
_atom_site_type_symbol
_atom_site_fract_x
_atom_site_fract_y
_atom_site_fract_z
_atom_site_occupancy
K1 K 0.0000 0.0000 0.0000 1
Sb1 Sb 0.1560 0.3455 0.5015 1
Sb2 Sb 0.1560 0.6545 0.8105 1
Sb3 Sb 0.1895 0.8440 0.3455 1
Sb4 Sb 0.3455 0.1895 0.8440 1
Sb5 Sb 0.3455 0.5015 0.1560 1
Sb6 Sb 0.4985 0.8440 0.6545 1
Sb7 Sb 0.5015 0.1560 0.3455 1
Sb8 Sb 0.6545 0.4985 0.8440 1
Sb9 Sb 0.6545 0.8105 0.1560 1
Sb10 Sb 0.8105 0.1560 0.6545 1
Sb11 Sb 0.8440 0.3455 0.1895 1
Sb12 Sb 0.8440 0.6545 0.4985 1
Pt1 Pt 0.0000 0.0000 0.5000 1
Pt2 Pt 0.0000 0.5000 0.0000 1
Pt3 Pt 0.5000 0.0000 0.0000 1
Pt4 Pt 0.5000 0.5000 0.5000 1
```

formation energy without anion corrections: -5.75 eV/f.u.
space-group type: Im-3, No. 204

***

no.,mass density (g cm⁻³)
1,4.6
2,8.4